Here is an optimized crystal structure of TaRhI from the Alexandria database. Energies are from PBE.

a = 12.5932 Å, b = 3.4827 Å, c = 5.9772 Å
α = 90.00°, β = 90.00°, γ = 90.00°
Space group Amm2 (No. 38)
Asymmetric unit:
Ta (0.1346, 0.0000, 0.0000)
Rh (0.0000, 0.0000, 0.6658)
Rh (0.5000, 0.0000, 0.7201)
I (0.2989, 0.0000, 0.6671)

## Properties
Mass density = 10.4 g/cm³
D(E_F) = 8.5 states/eV/cell

Here is an optimized crystal structure of TaTeRhI2 from the Alexandria database. Energies are from PBE.

a = 5.4924 Å, b = 5.4924 Å, c = 5.3814 Å
α = 90.00°, β = 90.00°, γ = 90.00°
Space group P4/mmm (No. 123)
Asymmetric unit:
Ta (0.0000, 0.0000, 0.0000)
Te (0.0000, 0.0000, 0.5000)
Rh (0.5000, 0.5000, 0.5000)
I (0.0000, 0.5000, 0.0000)

## Properties
Energy above the most stable polymorph in this dataset = 0.0000 eV/atom
Mass density = 6.8 g/cm³
D(E_F) = 17.5 states/eV/cell

Here is an optimized crystal structure of TaTeRhI2 from the Alexandria database. Energies are from PBE.

a = 5.1780 Å, b = 5.1780 Å, c = 5.2284 Å
α = 90.00°, β = 90.00°, γ = 90.00°
Space group P4/mmm (No. 123)
Asymmetric unit:
Ta (0.0000, 0.0000, 0.0000)
Te (0.5000, 0.5000, 0.0000)
Rh (0.5000, 0.5000, 0.5000)
I (0.0000, 0.5000, 0.5000)

## Properties
Energy above the most stable polymorph in this dataset = 0.1410 eV/atom
Mass density = 7.9 g/cm³
D(E_F) = 8.4 states/eV/cell

Here is an optimized crystal structure of ZrTaRhI2 from the Alexandria database. Energies are from PBE.

a = 5.2210 Å, b = 5.2210 Å, c = 4.9016 Å
α = 90.00°, β = 90.00°, γ = 90.00°
Space group P4/mmm (No. 123)
Asymmetric unit:
Zr (0.0000, 0.0000, 0.0000)
Ta (0.5000, 0.5000, 0.0000)
Rh (0.5000, 0.5000, 0.5000)
I (0.0000, 0.5000, 0.5000)

## Properties
Mass density = 7.8 g/cm³
D(E_F) = 7.8 states/eV/cell

Here is an optimized crystal structure of Tb2RhI2 from the Alexandria database. Energies are from PBE.

a = 7.1207 Å, b = 4.1100 Å, c = 12.1088 Å
α = 90.00°, β = 102.54°, γ = 90.00°
Space group C2/m (No. 12)
Asymmetric unit:
Tb (0.2146, 0.0000, 0.1297)
Rh (0.0000, 0.5000, 0.0000)
I (0.0519, 0.0000, 0.6894)

## Properties
Mass density = 6.5 g/cm³
D(E_F) = 6.5 states/eV/cell

Here is an optimized crystal structure of TbRhI from the Alexandria database. Energies are from PBE.

a = 4.3093 Å, b = 4.3093 Å, c = 34.4949 Å
α = 90.00°, β = 90.00°, γ = 120.00°
Space group R-3m (No. 166, hexagonal axes)
Asymmetric unit:
Tb (0.0000, 0.0000, 0.0515)
Rh (0.0000, 0.0000, 0.3343)
I (0.0000, 0.0000, 0.2225)

## Properties
Mass density = 7.0 g/cm³
D(E_F) = 3.7 states/eV/cell

Here is an optimized crystal structure of TbRhI from the Alexandria database. Energies are from PBE.

a = 11.2624 Å, b = 11.7436 Å, c = 10.4748 Å
α = 90.00°, β = 90.00°, γ = 90.00°
Space group Fdd2 (No. 43)
Asymmetric unit:
Tb (0.0454, 0.3080, 0.0000)
Rh (0.1221, 0.0238, 0.5017)
I (0.1046, 0.1649, 0.2414)

## Properties
Mass density = 7.5 g/cm³
D(E_F) = 3.9 states/eV/cell

Here is an optimized crystal structure of TcRh2I from the Alexandria database. Energies are from PBE.

a = 6.4881 Å, b = 6.4881 Å, c = 6.4881 Å
α = 90.00°, β = 90.00°, γ = 90.00°
Space group Fm-3m (No. 225)
Asymmetric unit:
Tc (0.0000, 0.0000, 0.0000)
Rh (0.2500, 0.2500, 0.2500)
I (0.0000, 0.0000, 0.5000)

## Properties
Energy above the most stable polymorph in this dataset = 0.0399 eV/atom
Mass density = 10.5 g/cm³
D(E_F) = 25.9 states/eV/cell

no.,E_form (uncorrected) (kJ per mole of atoms)
1,34.3
2,94.2
3,107.8
4,98.5
5,-103.6
6,-100.2
7,-58.9
8,80.6